VASP calculation (PBE+U) on a relaxed TlFeRuF2 crystal.

Computed properties:
The total energy is -4.57 eV per atom. As for the symmetry: P4/mmm (123). The calculation puts the magnetization at 4.22 Bohr magnetons per cell. Its density of states at the Fermi level is 3.6 states/eV/f.u.

Unit cell a=4.1728 b=5.0944 c=4.1728 alpha=90.00 beta=90.00 gamma=90.00
Each line ends with the local moment (μB).
Fractional positions:
Fe (0.0000, 0.5000, 0.0000)  3.58
F (0.0000, 0.0000, 0.5000)  0.02
F (0.5000, 0.0000, 0.0000)  0.03
Ru (0.0000, 0.0000, 0.0000)  0.57
Tl (0.5000, 0.5000, 0.5000)  -0.03